The following is a DFT calculation (PBE) of a relaxed ZnInAu2 crystal.

Computed properties:
ΔE_f   -97 meV per atom
Space group   Imm2 (44)
Density of states at the Fermi level   1.6 states/eV/f.u.

a b c (Å): 5.288 5.288 5.288
angles (deg): 137.86 130.58 66.92
Atoms (fractional coordinates):
In 0.498 0.498 0.000
Au 0.756 0.256 0.500
Au 0.009 0.009 0.000
Zn 0.238 0.738 0.500